Material: Cs2KV2O6
Method: DFT, PBE with a Hubbard U
State: relaxed

a b c (Å): 6.676 6.592 7.451
angles (deg): 113.46 90.00 120.42
Each line ends with the local moment (μB).
Fractional coordinates of all 11 atoms:
O 0.813 0.055 0.791  -0.05
O 0.757 0.945 0.209  -0.05
O 0.223 0.445 0.349  -0.04
O 0.187 0.945 0.209  -0.05
O 0.777 0.555 0.651  -0.04
V 0.055 0.110 0.215  0.47
V 0.945 0.890 0.785  0.47
Cs 0.291 0.581 0.822  0.00
Cs 0.709 0.419 0.178  0.00
K 0.500 0.000 0.500  0.00
O 0.243 0.055 0.791  -0.05

Values from the calculation:
symmetry	No. 12

***

Material: CsKVO3
Method: DFT, PBE with a Hubbard U
State: relaxed

a b c (Å): 6.609 6.609 7.529
angles (deg): 90.00 90.00 120.00
Each line ends with the local moment (μB).
Fractional coordinates of all 12 atoms:
Cs 0.333 0.667 0.750  0.02
K 0.000 0.000 0.500  0.00
O 0.182 0.364 0.250  -0.06
V 0.333 0.667 0.250  0.92
V 0.667 0.333 0.750  0.92
Cs 0.667 0.333 0.250  0.02
O 0.818 0.636 0.750  -0.06
K 0.000 0.000 0.000  0.00
O 0.636 0.818 0.250  -0.06
O 0.182 0.818 0.250  -0.06
O 0.364 0.182 0.750  -0.06
O 0.818 0.182 0.750  -0.06

Values from the calculation:
symmetry	No. 194
density of states at the Fermi level	0.000	states/eV/f.u.

***

Material: Cs2KVO4
Method: DFT, PBE with a Hubbard U
State: relaxed

a b c (Å): 6.288 6.832 12.590
angles (deg): 83.40 75.54 62.60
Fractional coordinates of all 16 atoms:
Cs 0.939 0.500 0.122
O 0.790 0.827 0.922
O 0.960 0.673 0.578
V 0.250 0.500 0.500
O 0.367 0.673 0.422
O 0.288 0.173 0.922
V 0.500 0.000 0.000
Cs 0.811 0.000 0.378
K 0.000 0.000 0.000
O 0.462 0.327 0.578
O 0.383 0.827 0.078
K 0.750 0.500 0.500
O 0.539 0.173 0.078
Cs 0.561 0.500 0.878
Cs 0.189 0.000 0.622
O 0.211 0.327 0.422

Values from the calculation:
symmetry	No. 70
density of states at the Fermi level	0.000	states/eV/f.u.

***

Material: CsKVO4
Method: DFT, PBE with a Hubbard U
State: relaxed

a b c (Å): 6.598 6.598 6.607
angles (deg): 119.95 119.95 90.00
Each line ends with the local moment (μB).
Fractional coordinates of all 7 atoms:
O 0.231 0.032 0.716  0.23
O 0.968 0.515 0.284  0.23
Cs 0.000 0.000 0.000  0.01
O 0.316 0.769 0.284  0.23
V 0.250 0.750 0.500  -0.17
O 0.485 0.684 0.716  0.23
K 0.500 0.500 0.000  0.00

Values from the calculation:
symmetry	No. 82
density of states at the Fermi level	10.016	states/eV/f.u.

***

Material: CsK2V2O6
Method: DFT, PBE with a Hubbard U
State: relaxed

a b c (Å): 6.737 6.536 7.456
angles (deg): 115.44 90.00 121.02
Each line ends with the local moment (μB).
Fractional coordinates of all 11 atoms:
V 0.028 0.056 0.206  0.50
O 0.721 0.862 0.153  -0.05
K 0.705 0.409 0.154  0.00
V 0.972 0.944 0.794  0.50
O 0.279 0.138 0.847  -0.05
O 0.813 0.627 0.579  -0.03
K 0.295 0.591 0.846  0.00
O 0.187 0.373 0.421  -0.03
Cs 0.500 0.000 0.500  0.00
O 0.142 0.862 0.153  -0.05
O 0.858 0.138 0.847  -0.05

Values from the calculation:
symmetry	No. 12

***

Material: Cs2KW2O7
Method: DFT, PBE with a Hubbard U
State: relaxed

a b c (Å): 4.029 4.029 12.597
angles (deg): 80.77 80.77 90.01
Fractional coordinates of all 12 atoms:
O 0.580 0.080 0.839
Cs 0.186 0.186 0.630
O 0.420 0.920 0.161
O 0.920 0.420 0.161
W 0.417 0.417 0.165
O 0.500 0.500 0.000
O 0.080 0.580 0.839
Cs 0.814 0.814 0.370
O 0.341 0.341 0.317
K 0.000 0.000 0.000
O 0.659 0.659 0.683
W 0.583 0.583 0.835

Values from the calculation:
symmetry	No. 139
density of states at the Fermi level	0.973	states/eV/f.u.

***

Material: CsK2WO4
Method: DFT, PBE with a Hubbard U
State: relaxed

a b c (Å): 6.589 6.589 6.190
angles (deg): 121.80 121.80 90.56
Each line ends with the local moment (μB).
Fractional coordinates of all 8 atoms:
O 0.422 0.783 0.205  0.02
O 0.213 0.213 0.789  0.02
W 0.499 0.499 0.999  0.83
O 0.576 0.576 0.789  0.02
K 0.752 0.252 0.504  0.00
Cs 0.002 0.002 0.005  0.01
K 0.252 0.752 0.504  0.00
O 0.783 0.422 0.205  0.02

Values from the calculation:
symmetry	No. 42

***

Material: CsKWO4
Method: DFT, PBE with a Hubbard U
State: relaxed

a b c (Å): 6.741 6.831 7.959
angles (deg): 90.00 107.89 90.00
Each line ends with the local moment (μB).
Fractional coordinates of all 14 atoms:
Cs 0.297 0.250 0.064  0.00
O 0.905 0.464 0.715  0.04
O 0.433 0.750 0.185  0.03
W 0.734 0.250 0.674  -0.03
Cs 0.703 0.750 0.936  0.00
O 0.567 0.250 0.815  0.03
K 0.186 0.250 0.531  0.00
K 0.814 0.750 0.469  0.00
O 0.095 0.536 0.285  0.04
W 0.266 0.750 0.326  -0.03
O 0.570 0.250 0.446  0.06
O 0.430 0.750 0.554  0.06
O 0.095 0.964 0.285  0.04
O 0.905 0.036 0.715  0.04

Values from the calculation:
symmetry	No. 11
density of states at the Fermi level	0.000	states/eV/f.u.

***

Material: Cs2KWO4
Method: DFT, PBE with a Hubbard U
State: relaxed

a b c (Å): 6.430 6.430 6.430
angles (deg): 95.52 116.86 116.86
Each line ends with the local moment (μB).
Fractional coordinates of all 8 atoms:
O 0.041 0.248 0.603  0.01
W 0.000 0.500 0.500  0.81
O 0.356 0.793 0.752  0.01
O 0.644 0.397 0.438  0.01
O 0.959 0.562 0.207  0.01
Cs 0.000 0.000 0.000  0.00
Cs 0.500 0.750 0.250  0.00
K 0.500 0.250 0.750  0.00

Values from the calculation:
symmetry	No. 82

***

no.,DFT total energy (eV/atom)
1,-6.049
2,-5.798
3,-5.494
4,-5.857
5,-6.040
6,-6.285
7,-5.576
8,-6.177
9,-5.523